VASP calculation (GGA-PBE) on a relaxed structure of PmHgAu2.

a = 7.1085 Å, b = 7.1085 Å, c = 7.1085 Å
α = 90.00°, β = 90.00°, γ = 90.00°
Last column: nearest neighbours and their distance in Å.
Space group Fm-3m (No. 225)
Inequivalent atoms, fractional coordinates:
1 Pm 0.0000 0.0000 0.0000 (multiplicity 4)  8 Au 3.08
2 Hg 0.0000 0.0000 0.5000 (multiplicity 4)  8 Au 3.08
3 Au 0.2500 0.2500 0.2500 (multiplicity 8)  4 Hg 3.08, 4 Pm 3.08

E in eV for the cell shown: -55.71
E above lowest polymorph in meV per atom: 0.0
N(E_F) in states/eV/f.u.: 3.522
Energy relative to the elements in eV/atom: -0.5802
V in Å³/f.u.: 89.8